Below is crystalline BaCa2Tl at its relaxed geometry, with properties calculated at the PBE-GGA level.

Unit cell a=9.9775 b=9.5850 c=6.8712 alpha=90.00 beta=90.00 gamma=90.00
Last column: nearest neighbours and their distance in Å.
Element x y z (fractional)
1 Ba 0.0318 0.2500 0.0907  3 Tl 3.69-3.82, 2 Ca 4.06
2 Ba 0.4682 0.7500 0.5907  3 Tl 3.69-3.82, 2 Ca 4.06
3 Ba 0.5318 0.2500 0.4093  3 Tl 3.69-3.82, 2 Ca 4.06
4 Ba 0.9682 0.7500 0.9093  3 Tl 3.69-3.82, 2 Ca 4.06
5 Ca 0.1707 0.0565 0.6047  3 Tl 3.30-3.45
6 Ca 0.1707 0.4435 0.6047  3 Tl 3.30-3.45
7 Ca 0.3293 0.5565 0.1047  3 Tl 3.30-3.45
8 Ca 0.3293 0.9435 0.1047  3 Tl 3.30-3.45
9 Ca 0.6707 0.0565 0.8953  3 Tl 3.30-3.45
10 Ca 0.6707 0.4435 0.8953  3 Tl 3.30-3.45
11 Ca 0.8293 0.5565 0.3953  3 Tl 3.30-3.45
12 Ca 0.8293 0.9435 0.3953  3 Tl 3.30-3.45
13 Tl 0.1201 0.7500 0.3985  6 Ca 3.30-3.45, 1 Ba 3.69
14 Tl 0.3799 0.2500 0.8985  6 Ca 3.30-3.45, 1 Ba 3.69
15 Tl 0.6201 0.7500 0.1015  6 Ca 3.30-3.45, 1 Ba 3.69
16 Tl 0.8799 0.2500 0.6015  6 Ca 3.30-3.45, 1 Ba 3.69

Computed properties:
**Magnetic moment**: 0.0 μB/f.u.
**Formation energy from the elements**: -0.93 eV/f.u.

Below is crystalline KCe2PdS4 at its relaxed geometry, with properties calculated at the PBE-GGA level.

Unit cell a=7.1663 b=7.1663 c=13.9764 alpha=90.00 beta=90.00 gamma=146.73
Last column: nearest neighbours and their distance in Å.
Element x y z (fractional)
1 K 0.1113 0.8887 0.7500  6 S 3.15-3.34
2 K 0.8887 0.1113 0.2500  6 S 3.15-3.34
3 Ce 0.3667 0.6333 0.5668  6 S 2.74-2.90
4 Ce 0.3667 0.6333 0.9332  6 S 2.74-2.90
5 Ce 0.6333 0.3667 0.0668  6 S 2.74-2.90
6 Ce 0.6333 0.3667 0.4332  6 S 2.74-2.90
7 Pd 0.1617 0.8383 0.2500  4 S 2.45-2.46
8 Pd 0.8383 0.1617 0.7500  4 S 2.45-2.46
9 S 0.0000 0.0000 0.0000  4 Ce 2.90
10 S 0.0000 0.0000 0.5000  4 Ce 2.90
11 S 0.2640 0.7360 0.1065  1 Pd 2.45
12 S 0.2640 0.7360 0.3935  1 Pd 2.45
13 S 0.4370 0.5630 0.7500  2 Pd 2.46, 2 Ce 2.74
14 S 0.5630 0.4370 0.2500  2 Pd 2.46, 2 Ce 2.74
15 S 0.7360 0.2640 0.6065  1 Pd 2.45
16 S 0.7360 0.2640 0.8935  1 Pd 2.45

Computed properties:
**ΔE_f (raw)**: -12.98 eV per formula unit
**Magnetic moment**: 1.0 μB/f.u.

Below is crystalline RbLa2I at its relaxed geometry, with properties calculated at the PBE-GGA level.

Unit cell a=5.9181 b=5.9181 c=5.9181 alpha=60.00 beta=60.00 gamma=60.00
Last column: nearest neighbours and their distance in Å.
Element x y z (fractional)
1 Rb 0.0000 0.0000 0.0000  8 La 3.62
2 La 0.2500 0.2500 0.2500  4 I 3.62, 4 Rb 3.62
3 La 0.7500 0.7500 0.7500  4 I 3.62, 4 Rb 3.62
4 I 0.5000 0.5000 0.5000  8 La 3.62

Computed properties:
**ΔE_f (raw)**: 0.69 eV per formula unit
**Magnetic moment**: 0.0 μB/f.u.

Below is crystalline HfBe2Mo2 at its relaxed geometry, with properties calculated at the PBE-GGA level.

Unit cell a=6.0225 b=6.0225 c=6.0225 alpha=144.98 beta=144.98 gamma=50.37
Last column: nearest neighbours and their distance in Å.
Element x y z (fractional)
1 Hf 0.0000 0.0000 0.0000  8 Be 2.76
2 Be 0.4069 0.4069 0.0000  1 Be 2.03
3 Be 0.5931 0.5931 0.0000  1 Be 2.03
4 Mo 0.2500 0.7500 0.5000  4 Be 2.49, 4 Mo 2.56
5 Mo 0.7500 0.2500 0.5000  4 Be 2.49, 4 Mo 2.56

Computed properties:
**Magnetic moment**: 0.0 μB/f.u.
**Formation energy from the elements**: -0.68 eV/f.u.

Below is crystalline KRu4Se at its relaxed geometry, with properties calculated at the PBE-GGA level.

Unit cell a=5.3150 b=5.3150 c=5.3150 alpha=60.00 beta=60.00 gamma=60.00
Last column: nearest neighbours and their distance in Å.
Element x y z (fractional)
1 K 0.0000 0.0000 0.0000  12 Ru 3.12, 4 Se 3.25
2 Ru 0.1288 0.6237 0.6237  6 Ru 2.63-2.68
3 Ru 0.6237 0.1288 0.6237  6 Ru 2.63-2.68
4 Ru 0.6237 0.6237 0.1288  6 Ru 2.63-2.68
5 Ru 0.6237 0.6237 0.6237  6 Ru 2.63-2.68
6 Se 0.2500 0.2500 0.2500  12 Ru 3.11, 4 K 3.25

Computed properties:
**ΔE_f (raw)**: 5.84 eV per formula unit
**Magnetic moment**: 3.1 μB/f.u.

Below is crystalline AlCdIn2Ag at its relaxed geometry, with properties calculated at the PBE-GGA level.

Unit cell a=5.4516 b=5.4516 c=5.2384 alpha=90.00 beta=90.00 gamma=90.00
Last column: nearest neighbours and their distance in Å.
Element x y z (fractional)
1 Al 0.0000 0.0000 0.0000  8 In 3.78, 4 Ag 3.85
2 Cd 0.5000 0.5000 0.5000  2 Ag 2.62, 4 In 2.73
3 In 0.0000 0.5000 0.5000  2 Cd 2.73
4 In 0.5000 0.0000 0.5000  2 Cd 2.73
5 Ag 0.5000 0.5000 0.0000  2 Cd 2.62

Computed properties:
**Magnetic moment**: 0.0 μB/f.u.
**Formation energy from the elements**: 3.05 eV/f.u.

| no. | D(E_F) (states/eV per cell) | energy (eV/atom) |
| --- | --- | --- |
| 1 | 15.97 | -2.305 |
| 2 | 18.23 | -5.956 |
| 3 | 2.96 | -2.921 |
| 4 | 2.03 | -7.949 |
| 5 | 6.99 | -5.974 |
| 6 | 2.16 | -1.988 |